Computed, not measured: a geometry-optimized SrLaRe2 structure at the GGA-PBE level of DFT.

Summary:
* DOS(E_F): 0.88 states/eV per atom
* DFT formation energy: 1.057 eV per atom
* offset from the most stable computed form: 832.0 meV per atom
* total moment: 0.0 μB/f.u.
* calculated density: 11.70 g/cm3

The structure in CIF format:
```
data_SrLaRe2
_chemical_formula_sum 'Sr2 La2 Re4'
_symmetry_space_group_name_H-M 'C m m m'
_symmetry_Int_Tables_number 65
_symmetry_space_group_name_Hall '-C 2 2'
_cell_length_a 3.4520
_cell_length_b 4.8681
_cell_length_c 10.1167
_cell_angle_alpha 90.00
_cell_angle_beta 90.00
_cell_angle_gamma 90.00
loop_
_atom_site_label
_atom_site_fract_x
_atom_site_fract_y
_atom_site_fract_z
_atom_site_occupancy
Sr1 0.0000 0.0000 0.0000 1
La1 0.0000 0.0000 0.5000 1
Re1 0.0000 0.5000 0.2580 1
```